Crystalline LiBRhS2 at its relaxed geometry, computed with PBE. Values from VASP.

Computed properties:
Formation energy without anion corrections   1331 meV/atom
Energy   -3.51 eV/atom

Cell and atoms, written as Quantum ESPRESSO input:
```
&SYSTEM
  ibrav = 0, nat = 5, ntyp = 4
/
ATOMIC_SPECIES
Li 6.94 Li.upf
B 10.81 B.upf
Rh 102.91 Rh.upf
S 32.06 S.upf
CELL_PARAMETERS angstrom
4.2379 0.0000 0.0000
0.0000 4.2379 0.0000
0.0000 0.0000 4.2714
ATOMIC_POSITIONS crystal
Li 0.0000 0.0000 0.0000
B 0.5000 0.5000 0.5000
Rh 0.0000 0.0000 0.5000
S 0.0000 0.5000 0.0000
S 0.5000 0.0000 0.0000
```

---

Crystalline Li2ScB2Rh5 at its relaxed geometry, computed with PBE. Values from VASP.

Computed properties:
Formation energy from the elements   -0.44 eV per atom
Energy   -6.47 eV/atom

Cell and atoms, written as Quantum ESPRESSO input:
```
&SYSTEM
  ibrav = 0, nat = 20, ntyp = 4
/
ATOMIC_SPECIES
Li 6.94 Li.upf
Sc 44.96 Sc.upf
B 10.81 B.upf
Rh 102.91 Rh.upf
CELL_PARAMETERS angstrom
9.5174 0.0000 0.0000
0.0000 9.5174 0.0000
0.0000 0.0000 2.9412
ATOMIC_POSITIONS crystal
Li 0.1747 0.3253 0.0000
Li 0.3253 0.8253 0.0000
Li 0.6747 0.1747 0.0000
Li 0.8253 0.6747 0.0000
Sc 0.0000 0.0000 0.0000
Sc 0.5000 0.5000 0.0000
B 0.1234 0.6234 0.0000
B 0.3766 0.1234 0.0000
B 0.6234 0.8766 0.0000
B 0.8766 0.3766 0.0000
Rh 0.0000 0.5000 0.5000
Rh 0.0728 0.7798 0.5000
Rh 0.2202 0.0728 0.5000
Rh 0.2798 0.5728 0.5000
Rh 0.4272 0.2798 0.5000
Rh 0.5000 0.0000 0.5000
Rh 0.5728 0.7202 0.5000
Rh 0.7202 0.4272 0.5000
Rh 0.7798 0.9272 0.5000
Rh 0.9272 0.2202 0.5000
```

---

Crystalline LiSc2B2Rh5 at its relaxed geometry, computed with PBE. Values from VASP.

Computed properties:
Formation energy from the elements   -0.75 eV per atom
Energy   -7.22 eV/atom

Cell and atoms, written as Quantum ESPRESSO input:
```
&SYSTEM
  ibrav = 0, nat = 20, ntyp = 4
/
ATOMIC_SPECIES
Li 6.94 Li.upf
Sc 44.96 Sc.upf
B 10.81 B.upf
Rh 102.91 Rh.upf
CELL_PARAMETERS angstrom
9.2912 0.0000 0.0000
0.0000 9.2912 0.0000
0.0000 0.0000 3.0434
ATOMIC_POSITIONS crystal
Li 0.0000 0.0000 0.0000
Li 0.5000 0.5000 0.0000
Sc 0.1750 0.3250 0.0000
Sc 0.3250 0.8250 0.0000
Sc 0.6750 0.1750 0.0000
Sc 0.8250 0.6750 0.0000
B 0.1277 0.6277 0.0000
B 0.3723 0.1277 0.0000
B 0.6277 0.8723 0.0000
B 0.8723 0.3723 0.0000
Rh 0.0000 0.5000 0.5000
Rh 0.0703 0.7859 0.5000
Rh 0.2141 0.0703 0.5000
Rh 0.2859 0.5703 0.5000
Rh 0.4297 0.2859 0.5000
Rh 0.5000 0.0000 0.5000
Rh 0.5703 0.7141 0.5000
Rh 0.7141 0.4297 0.5000
Rh 0.7859 0.9297 0.5000
Rh 0.9297 0.2141 0.5000
```

---

Crystalline Li2SiB2Rh5 at its relaxed geometry, computed with PBE. Values from VASP.

Computed properties:
Formation energy without anion corrections   -588 meV/atom
Energy   -6.52 eV/atom

Cell and atoms, written as Quantum ESPRESSO input:
```
&SYSTEM
  ibrav = 0, nat = 20, ntyp = 4
/
ATOMIC_SPECIES
Li 6.94 Li.upf
Si 28.09 Si.upf
B 10.81 B.upf
Rh 102.91 Rh.upf
CELL_PARAMETERS angstrom
9.2555 0.0000 0.0000
0.0000 9.2555 0.0000
0.0000 0.0000 2.8443
ATOMIC_POSITIONS crystal
Li 0.1742 0.3258 0.0000
Li 0.3258 0.8258 0.0000
Li 0.6742 0.1742 0.0000
Li 0.8258 0.6742 0.0000
Si 0.0000 0.0000 0.0000
Si 0.5000 0.5000 0.0000
B 0.1271 0.6271 0.0000
B 0.3729 0.1271 0.0000
B 0.6271 0.8729 0.0000
B 0.8729 0.3729 0.0000
Rh 0.0000 0.5000 0.5000
Rh 0.0713 0.7915 0.5000
Rh 0.2085 0.0713 0.5000
Rh 0.2915 0.5713 0.5000
Rh 0.4287 0.2915 0.5000
Rh 0.5000 0.0000 0.5000
Rh 0.5713 0.7085 0.5000
Rh 0.7085 0.4287 0.5000
Rh 0.7915 0.9287 0.5000
Rh 0.9287 0.2085 0.5000
```

---

Crystalline LiSm2B2Rh5 at its relaxed geometry, computed with PBE. Values from VASP.

Computed properties:
Formation energy from the elements   -0.59 eV per atom
Energy   -6.74 eV/atom

Cell and atoms, written as Quantum ESPRESSO input:
```
&SYSTEM
  ibrav = 0, nat = 20, ntyp = 4
/
ATOMIC_SPECIES
Li 6.94 Li.upf
Sm 150.36 Sm.upf
B 10.81 B.upf
Rh 102.91 Rh.upf
CELL_PARAMETERS angstrom
9.6231 0.0000 0.0000
0.0000 9.6231 0.0000
0.0000 0.0000 3.2152
ATOMIC_POSITIONS crystal
Li 0.0000 0.0000 0.0000
Li 0.5000 0.5000 0.0000
Sm 0.1761 0.3239 0.0000
Sm 0.3239 0.8239 0.0000
Sm 0.6761 0.1761 0.0000
Sm 0.8239 0.6761 0.0000
B 0.1240 0.6240 0.0000
B 0.3760 0.1240 0.0000
B 0.6240 0.8760 0.0000
B 0.8760 0.3760 0.0000
Rh 0.0000 0.5000 0.5000
Rh 0.0698 0.7773 0.5000
Rh 0.2227 0.0698 0.5000
Rh 0.2773 0.5698 0.5000
Rh 0.4302 0.2773 0.5000
Rh 0.5000 0.0000 0.5000
Rh 0.5698 0.7227 0.5000
Rh 0.7227 0.4302 0.5000
Rh 0.7773 0.9302 0.5000
Rh 0.9302 0.2227 0.5000
```

---

Crystalline LiSnBRh2 at its relaxed geometry, computed with PBE. Values from VASP.

Computed properties:
Formation energy from the elements   -0.36 eV per atom
Energy   -5.82 eV/atom

Cell and atoms, written as Quantum ESPRESSO input:
```
&SYSTEM
  ibrav = 0, nat = 5, ntyp = 4
/
ATOMIC_SPECIES
Li 6.94 Li.upf
Sn 118.71 Sn.upf
B 10.81 B.upf
Rh 102.91 Rh.upf
CELL_PARAMETERS angstrom
4.1080 0.0000 0.0000
0.0000 4.1080 0.0000
0.0000 0.0000 4.1514
ATOMIC_POSITIONS crystal
Li 0.0000 0.0000 0.0000
Sn 0.5000 0.5000 0.0000
B 0.0000 0.0000 0.5000
Rh 0.0000 0.5000 0.5000
Rh 0.5000 0.0000 0.5000
```

---

no.,density (g/cm3),M_tot (μB per formula unit)
1,4.0,0.00
2,7.4,0.00
3,8.0,0.00
4,7.9,0.00
5,9.4,0.00
6,8.1,0.00